1.
# SrTaIn4

A relaxed SrTaIn4 crystal (PBE, Alexandria).

Values from the calculation:
Formation enthalpy at 0 K: 0.277 eV/atom
Final energy: -3.804 eV per atom
Density: 8.20 g cm⁻³

CIF file:
```
data_SrTaIn4
_chemical_formula_sum 'Sr4 Ta4 In16'
_cell_length_a 8.3868
_cell_length_b 8.3868
_cell_length_c 8.3868
_cell_angle_alpha 90.00
_cell_angle_beta 90.00
_cell_angle_gamma 90.00
_space_group_name_H-M_alt 'F -4 3 m'
_space_group_IT_number 216
_space_group_name_Hall 'F -4 2 3'
loop_
_atom_site_label
_atom_site_fract_x
_atom_site_fract_y
_atom_site_fract_z
_atom_site_occupancy
Sr1 0.0000 0.0000 0.0000 1
Ta1 0.2500 0.2500 0.2500 1
In1 0.1244 0.1244 0.6244 1
```

***

2.
# SrTa2In

A relaxed SrTa2In crystal (PBE, Alexandria).

Values from the calculation:
Formation enthalpy at 0 K: 0.322 eV/atom
Final energy: -6.709 eV per atom
Density: 9.59 g cm⁻³

CIF file:
```
data_SrTa2In
_chemical_formula_sum 'Sr1 Ta2 In1'
_cell_length_a 3.1297
_cell_length_b 3.8746
_cell_length_c 8.0610
_cell_angle_alpha 90.00
_cell_angle_beta 90.10
_cell_angle_gamma 90.00
_space_group_name_H-M_alt 'P 1 m 1'
_space_group_IT_number 6
loop_
_space_group_symop_operation_xyz
'x,y,z'
'x,-y,z'
loop_
_atom_site_label
_atom_site_fract_x
_atom_site_fract_y
_atom_site_fract_z
_atom_site_occupancy
Sr1 0.0000 0.0000 0.0000 1
Ta1 0.0020 0.0000 0.5191 1
Ta2 0.5020 0.5000 0.6871 1
In1 0.5002 0.5000 0.2993 1
```

***

3.
# Sr2TaIn

A relaxed Sr2TaIn crystal (PBE, Alexandria).

Values from the calculation:
Formation enthalpy at 0 K: 0.597 eV/atom
Final energy: -3.891 eV per atom
Density: 6.65 g cm⁻³

CIF file:
```
data_Sr2TaIn
_chemical_formula_sum 'Sr6 Ta3 In3'
_cell_length_a 3.4574
_cell_length_b 3.4574
_cell_length_c 34.0756
_cell_angle_alpha 90.00
_cell_angle_beta 90.00
_cell_angle_gamma 120.00
_space_group_name_H-M_alt 'R -3 m'
_space_group_IT_number 166
_space_group_name_Hall '-R 3 2"'
loop_
_atom_site_label
_atom_site_fract_x
_atom_site_fract_y
_atom_site_fract_z
_atom_site_occupancy
Sr1 0.0000 0.0000 0.2473 1
Ta1 0.0000 0.0000 0.5000 1
In1 0.0000 0.0000 0.0000 1
```

***

4.
# Sr2TaIn

A relaxed Sr2TaIn crystal (PBE, Alexandria).

Values from the calculation:
Formation enthalpy at 0 K: 0.473 eV/atom
Final energy: -4.016 eV per atom
Density: 6.36 g cm⁻³

CIF file:
```
data_Sr2TaIn
_chemical_formula_sum 'Sr4 Ta2 In2'
_cell_length_a 12.7094
_cell_length_b 3.3990
_cell_length_c 6.0562
_cell_angle_alpha 90.00
_cell_angle_beta 109.84
_cell_angle_gamma 90.00
_space_group_name_H-M_alt 'C 1 m 1'
_space_group_IT_number 8
loop_
_space_group_symop_operation_xyz
'x,y,z'
'x,-y,z'
'x+1/2,y+1/2,z'
'x+1/2,-y+1/2,z'
loop_
_atom_site_label
_atom_site_fract_x
_atom_site_fract_y
_atom_site_fract_z
_atom_site_occupancy
Sr1 0.0000 0.0000 0.0000 1
Sr2 0.1987 0.0000 0.6204 1
Ta1 0.2650 0.5000 0.1681 1
In1 0.4421 0.0000 0.4625 1
```

***

5.
# SrTa2In

A relaxed SrTa2In crystal (PBE, Alexandria).

Values from the calculation:
Formation enthalpy at 0 K: 0.656 eV/atom
Final energy: -6.375 eV per atom
Density: 10.05 g cm⁻³

CIF file:
```
data_SrTa2In
_chemical_formula_sum 'Sr2 Ta4 In2'
_cell_length_a 3.0094
_cell_length_b 5.4255
_cell_length_c 11.4244
_cell_angle_alpha 90.00
_cell_angle_beta 90.00
_cell_angle_gamma 90.00
_space_group_name_H-M_alt 'I m m m'
_space_group_IT_number 71
_space_group_name_Hall '-I 2 2'
loop_
_atom_site_label
_atom_site_fract_x
_atom_site_fract_y
_atom_site_fract_z
_atom_site_occupancy
Sr1 0.0000 0.0000 0.0000 1
Ta1 0.0000 0.5000 0.2251 1
In1 0.0000 0.0000 0.5000 1
```

***

6.
# Sr2TaIn

A relaxed Sr2TaIn crystal (PBE, Alexandria).

Values from the calculation:
Formation enthalpy at 0 K: 0.640 eV/atom
Final energy: -3.848 eV per atom
Density: 6.60 g cm⁻³

CIF file:
```
data_Sr2TaIn
_chemical_formula_sum 'Sr4 Ta2 In2'
_cell_length_a 4.9935
_cell_length_b 4.9935
_cell_length_c 9.5020
_cell_angle_alpha 90.00
_cell_angle_beta 90.00
_cell_angle_gamma 90.00
_space_group_name_H-M_alt 'I -4 m 2'
_space_group_IT_number 119
_space_group_name_Hall 'I -4 -2'
loop_
_atom_site_label
_atom_site_fract_x
_atom_site_fract_y
_atom_site_fract_z
_atom_site_occupancy
Sr1 0.0000 0.0000 0.0000 1
Sr2 0.0000 0.5000 0.2500 1
Ta1 0.0000 0.5000 0.7500 1
In1 0.0000 0.0000 0.5000 1
```